# 1
The following is a DFT calculation (PBE) of a relaxed Tb2Pm3PrEr6 crystal.

a b c (Å): 6.1902 6.1902 11.7514
angles (deg): 95.02 95.02 119.98
Last column: nearest neighbours and their distance in Å.
Positions (direct):
Er: 0.9166 0.5827 0.7508  2 Tb 3.54-3.55, 1 Pr 3.55, 3 Pm 3.56, 6 Er 3.57-3.58
Pm: 0.5000 0.5000 0.5000  6 Er 3.56, 6 Pm 3.57-3.58
Tb: 0.3333 0.6667 0.0000  6 Er 3.54-3.55, 3 Pr 3.57-3.58, 3 Tb 3.57
Pm: 0.1668 0.8332 0.5000  6 Er 3.56, 6 Pm 3.57-3.58
Er: 0.5827 0.9166 0.7508  2 Tb 3.54-3.55, 1 Pr 3.55, 3 Pm 3.56, 6 Er 3.57-3.58
Er: 0.7493 0.7493 0.2491  2 Tb 3.55, 1 Pr 3.55, 3 Pm 3.56, 6 Er 3.57-3.58
Pr: 0.0000 0.0000 0.0000  6 Er 3.55, 6 Tb 3.57-3.58
Er: 0.0834 0.4173 0.2492  2 Tb 3.54-3.55, 1 Pr 3.55, 3 Pm 3.56, 6 Er 3.57-3.58
Er: 0.4173 0.0834 0.2492  2 Tb 3.54-3.55, 1 Pr 3.55, 3 Pm 3.56, 6 Er 3.57-3.58
Tb: 0.6667 0.3333 0.0000  6 Er 3.54-3.55, 3 Pr 3.57-3.58, 3 Tb 3.57
Pm: 0.8332 0.1668 0.5000  6 Er 3.56, 6 Pm 3.57-3.58
Er: 0.2507 0.2507 0.7509  2 Tb 3.55, 1 Pr 3.55, 3 Pm 3.56, 6 Er 3.57-3.58

***

# 2
The following is a DFT calculation (PBE) of a relaxed Tb5PmPrEr2 crystal.

a b c (Å): 5.6332 10.3704 10.6042
angles (deg): 90.00 90.00 105.76
Last column: nearest neighbours and their distance in Å.
Positions (direct):
Tb: 0.3905 0.7810 0.0246  6 Tb 3.46-3.82, 4 Er 3.55-3.59, 1 Pm 3.79
Pr: 0.4166 0.8332 0.4491  5 Tb 3.08-3.28
Pm: 0.7991 0.5983 0.5123  2 Er 3.45-3.70, 8 Tb 3.50-3.79, 2 Pr 3.73
Er: 0.8891 0.7782 0.2345  7 Tb 3.38-3.75, 1 Pm 3.45, 2 Pr 3.66
Tb: 0.4775 0.9550 0.7368  2 Pr 3.09-3.28
Pm: 0.2009 0.4017 0.0123  2 Er 3.45-3.70, 8 Tb 3.50-3.79, 2 Pr 3.73
Tb: 0.6095 0.2190 0.5246  6 Tb 3.46-3.82, 4 Er 3.55-3.59, 1 Pm 3.79
Tb: 0.9830 0.9660 0.5260  2 Pr 3.22, 2 Er 3.38-3.40, 2 Tb 3.60
Pr: 0.5834 0.1668 0.9491  5 Tb 3.08-3.28
Tb: 0.5225 0.0450 0.2368  2 Pr 3.09-3.28
Er: 0.1109 0.2218 0.7345  7 Tb 3.38-3.75, 1 Pm 3.45, 2 Pr 3.66
Tb: 0.7189 0.4377 0.8108  1 Pr 3.08, 1 Er 3.33, 2 Tb 3.41
Er: 0.1143 0.2286 0.3212  9 Tb 3.33-3.68, 1 Pm 3.70
Tb: 0.2811 0.5623 0.3108  1 Pr 3.08, 1 Er 3.33, 2 Tb 3.41
Tb: 0.2983 0.5965 0.7087  3 Tb 3.41-3.59, 3 Pm 3.50-3.76, 3 Er 3.52-3.75, 1 Pr 3.63
Tb: 0.7017 0.4035 0.2087  3 Tb 3.41-3.59, 3 Pm 3.50-3.76, 3 Er 3.52-3.75, 1 Pr 3.63
Er: 0.8857 0.7714 0.8212  9 Tb 3.33-3.68, 1 Pm 3.70
Tb: 0.0170 0.0340 0.0260  2 Pr 3.22, 2 Er 3.38-3.40, 2 Tb 3.60

***

# 3
The following is a DFT calculation (PBE) of a relaxed TbPmPr5Er2 crystal.

a b c (Å): 5.6942 10.6719 10.7913
angles (deg): 90.00 90.00 105.47
Last column: nearest neighbours and their distance in Å.
Positions (direct):
Pr: 0.4806 0.9613 0.7432  2 Tb 3.24-3.40, 2 Er 3.56, 2 Pr 3.58
Pr: 0.0158 0.0315 0.0203  2 Tb 3.30, 3 Er 3.51-3.61
Pm: 0.1998 0.3996 0.0099  2 Er 3.44-3.71, 7 Pr 3.53-3.85, 2 Tb 3.67
Er: 0.1160 0.2320 0.3140  9 Pr 3.39-3.78, 1 Pm 3.71
Pr: 0.3884 0.7769 0.0245  6 Pr 3.58-3.96, 4 Er 3.64-3.67, 1 Pm 3.88
Pr: 0.7193 0.4386 0.8108  1 Tb 3.09, 1 Er 3.39, 2 Pr 3.45
Tb: 0.4097 0.8195 0.4583  5 Pr 3.09-3.40
Pr: 0.2956 0.5912 0.7035  3 Pr 3.45-3.83, 3 Pm 3.53-3.85, 1 Tb 3.54, 3 Er 3.58-3.82
Pr: 0.6116 0.2231 0.5245  6 Pr 3.58-3.96, 4 Er 3.64-3.67, 1 Pm 3.88
Pr: 0.2807 0.5614 0.3108  1 Tb 3.09, 1 Er 3.39, 2 Pr 3.45
Er: 0.8840 0.7680 0.8140  9 Pr 3.39-3.78, 1 Pm 3.71
Pr: 0.5194 0.0387 0.2432  2 Tb 3.24-3.40, 2 Er 3.56, 2 Pr 3.58
Er: 0.8891 0.7781 0.2394  1 Pm 3.44, 7 Pr 3.52-3.82, 2 Tb 3.72
Pr: 0.9842 0.9685 0.5203  2 Tb 3.30, 3 Er 3.51-3.61
Pm: 0.8002 0.6004 0.5099  2 Er 3.44-3.71, 7 Pr 3.53-3.85, 2 Tb 3.67
Pr: 0.7044 0.4088 0.2035  3 Pr 3.45-3.83, 3 Pm 3.53-3.85, 1 Tb 3.54, 3 Er 3.58-3.82
Er: 0.1109 0.2219 0.7394  1 Pm 3.44, 7 Pr 3.52-3.82, 2 Tb 3.72
Tb: 0.5903 0.1805 0.9583  5 Pr 3.09-3.40

***

# 4
The following is a DFT calculation (PBE) of a relaxed TbPm2Pr4Er2 crystal.

a b c (Å): 5.1569 8.1538 8.1054
angles (deg): 107.59 90.00 108.44
Last column: nearest neighbours and their distance in Å.
Positions (direct):
Pr: 0.4457 0.8914 0.6702  2 Er 3.61-3.63, 2 Tb 3.61, 4 Pm 3.64-3.67, 4 Pr 3.66-3.67
Pr: 0.2222 0.4445 0.3298  3 Er 3.60-3.62, 1 Tb 3.62, 3 Pm 3.64-3.68, 5 Pr 3.66-3.67
Er: 0.3326 0.6653 0.0002  5 Pr 3.60-3.63, 3 Pm 3.61, 2 Er 3.63, 2 Tb 3.65
Pm: 0.1116 0.2232 0.6702  3 Er 3.61, 1 Tb 3.62, 7 Pr 3.64-3.68, 1 Pm 3.67
Pr: 0.5543 0.1086 0.3298  2 Er 3.61-3.63, 2 Tb 3.61, 4 Pm 3.64-3.67, 4 Pr 3.66-3.67
Pm: 0.8884 0.7768 0.3298  3 Er 3.61, 1 Tb 3.62, 7 Pr 3.64-3.68, 1 Pm 3.67
Tb: 0.0000 0.0000 0.0000  6 Pr 3.61-3.62, 2 Pm 3.62, 4 Er 3.65
Pr: 0.7778 0.5555 0.6702  3 Er 3.60-3.62, 1 Tb 3.62, 3 Pm 3.64-3.68, 5 Pr 3.66-3.67
Er: 0.6674 0.3347 0.9998  5 Pr 3.60-3.63, 3 Pm 3.61, 2 Er 3.63, 2 Tb 3.65

***

# 5
The following is a DFT calculation (PBE) of a relaxed TbPmPrEr2 crystal.

a b c (Å): 7.1753 8.4240 7.1530
angles (deg): 126.08 90.00 90.00
Last column: nearest neighbours and their distance in Å.
Positions (direct):
Pm: 0.7500 0.0021 0.0042  1 Pr 3.14, 4 Er 3.19, 1 Tb 3.21
Pm: 0.2500 0.9979 0.9958  1 Pr 3.14, 4 Er 3.19, 1 Tb 3.21
Tb: 0.7500 0.2794 0.5589  1 Pm 3.21, 4 Er 3.49, 2 Pr 3.59
Pr: 0.7500 0.7304 0.4607  1 Pm 3.14
Pr: 0.2500 0.2696 0.5393  1 Pm 3.14
Er: 0.0000 0.6869 0.0000  1 Er 3.15, 2 Pm 3.19, 2 Tb 3.49
Er: 0.5000 0.3131 0.0000  1 Er 3.15, 2 Pm 3.19, 2 Tb 3.49
Er: 0.0000 0.3131 0.0000  1 Er 3.15, 2 Pm 3.19, 2 Tb 3.49
Tb: 0.2500 0.7206 0.4411  1 Pm 3.21, 4 Er 3.49, 2 Pr 3.59
Er: 0.5000 0.6869 0.0000  1 Er 3.15, 2 Pm 3.19, 2 Tb 3.49

***

# 6
The following is a DFT calculation (PBE) of a relaxed Tb2PmPr3Er6 crystal.

a b c (Å): 6.2135 6.2135 11.7669
angles (deg): 95.03 95.03 119.98
Last column: nearest neighbours and their distance in Å.
Positions (direct):
Pr: 0.8332 0.1668 0.5000  6 Pr 3.59, 6 Er 3.59
Er: 0.2512 0.2512 0.7530  1 Pm 3.53, 2 Tb 3.53, 6 Er 3.59, 3 Pr 3.59
Er: 0.4161 0.0825 0.2470  2 Tb 3.53, 1 Pm 3.53, 6 Er 3.59, 3 Pr 3.59
Tb: 0.3333 0.6667 0.0000  6 Er 3.53, 3 Pm 3.59, 3 Tb 3.59
Er: 0.0825 0.4161 0.2470  2 Tb 3.53, 1 Pm 3.53, 6 Er 3.59, 3 Pr 3.59
Er: 0.7488 0.7488 0.2470  1 Pm 3.53, 2 Tb 3.53, 6 Er 3.59, 3 Pr 3.59
Er: 0.5839 0.9175 0.7530  2 Tb 3.53, 1 Pm 3.53, 6 Er 3.59, 3 Pr 3.59
Tb: 0.6667 0.3333 0.0000  6 Er 3.53, 3 Pm 3.59, 3 Tb 3.59
Pr: 0.5000 0.5000 0.5000  6 Pr 3.59, 6 Er 3.59
Pr: 0.1668 0.8332 0.5000  6 Pr 3.59, 6 Er 3.59
Er: 0.9175 0.5839 0.7530  2 Tb 3.53, 1 Pm 3.53, 6 Er 3.59, 3 Pr 3.59
Pm: 0.0000 0.0000 0.0000  6 Er 3.53, 6 Tb 3.59

***

# 7
The following is a DFT calculation (PBE) of a relaxed Tb6Pm2PrEr3 crystal.

a b c (Å): 6.1927 6.1927 11.8407
angles (deg): 94.99 94.99 119.97
Last column: nearest neighbours and their distance in Å.
Positions (direct):
Pr: 0.0000 0.0000 0.0000  6 Pm 3.58, 6 Tb 3.61-3.62
Tb: 0.7518 0.7518 0.2546  3 Er 3.53, 6 Tb 3.57-3.58, 1 Pr 3.61, 2 Pm 3.62
Tb: 0.9144 0.5808 0.7454  3 Er 3.53, 6 Tb 3.57-3.58, 2 Pm 3.61-3.62, 1 Pr 3.62
Pm: 0.6666 0.3334 0.0000  3 Pm 3.57-3.58, 3 Pr 3.58, 6 Tb 3.61-3.62
Er: 0.1668 0.8332 0.5000  6 Tb 3.53, 6 Er 3.57-3.58
Tb: 0.0856 0.4192 0.2546  3 Er 3.53, 6 Tb 3.57-3.58, 2 Pm 3.61-3.62, 1 Pr 3.62
Tb: 0.5808 0.9144 0.7454  3 Er 3.53, 6 Tb 3.57-3.58, 2 Pm 3.61-3.62, 1 Pr 3.62
Pm: 0.3334 0.6666 0.0000  3 Pm 3.57-3.58, 3 Pr 3.58, 6 Tb 3.61-3.62
Tb: 0.4192 0.0856 0.2546  3 Er 3.53, 6 Tb 3.57-3.58, 2 Pm 3.61-3.62, 1 Pr 3.62
Tb: 0.2482 0.2482 0.7454  3 Er 3.53, 6 Tb 3.57-3.58, 1 Pr 3.61, 2 Pm 3.62
Er: 0.8332 0.1668 0.5000  6 Tb 3.53, 6 Er 3.57-3.58
Er: 0.5000 0.5000 0.5000  6 Tb 3.53, 6 Er 3.57-3.58

***

# 8
The following is a DFT calculation (PBE) of a relaxed Tb2PmPr6Er crystal.

a b c (Å): 9.7702 9.0194 9.0194
angles (deg): 117.56 93.94 93.94
Last column: nearest neighbours and their distance in Å.
Positions (direct):
Tb: 0.5463 0.2007 0.2979  5 Pr 3.32-3.55, 2 Pm 3.46-3.49, 1 Er 3.57
Pr: 0.6178 0.4902 0.7056  3 Tb 3.32-3.52, 4 Pr 3.34-3.69, 2 Er 3.47-3.60
Pr: 0.6885 0.0076 0.5647  3 Pr 3.34-3.72, 1 Er 3.48, 1 Tb 3.51, 1 Pm 3.63
Pr: 0.9458 0.8839 0.2415  7 Pr 3.49-3.85, 1 Tb 3.55, 2 Pm 3.70-3.90
Pr: 0.1885 0.5647 0.0076  3 Pr 3.34-3.72, 1 Er 3.48, 1 Tb 3.51, 1 Pm 3.63
Pr: 0.4458 0.2415 0.8839  7 Pr 3.49-3.85, 1 Tb 3.55, 2 Pm 3.70-3.90
Er: 0.2500 0.4111 0.5889  6 Pr 3.47-3.60, 2 Tb 3.57
Tb: 0.4537 0.7993 0.7021  5 Pr 3.32-3.55, 2 Pm 3.46-3.49, 1 Er 3.57
Pr: 0.0542 0.1161 0.7585  7 Pr 3.49-3.85, 1 Tb 3.55, 2 Pm 3.70-3.90
Pm: 0.7500 0.0258 0.9742  4 Tb 3.46-3.49, 4 Pr 3.63-3.70
Pr: 0.3822 0.5098 0.2944  3 Tb 3.32-3.52, 4 Pr 3.34-3.69, 2 Er 3.47-3.60
Pr: 0.3115 0.9924 0.4353  3 Pr 3.34-3.72, 1 Er 3.48, 1 Tb 3.51, 1 Pm 3.63
Pr: 0.1178 0.7056 0.4902  3 Tb 3.32-3.52, 4 Pr 3.34-3.69, 2 Er 3.47-3.60
Tb: 0.9537 0.7021 0.7993  5 Pr 3.32-3.55, 2 Pm 3.46-3.49, 1 Er 3.57
Er: 0.7500 0.5889 0.4111  6 Pr 3.47-3.60, 2 Tb 3.57
Pr: 0.8822 0.2944 0.5098  3 Tb 3.32-3.52, 4 Pr 3.34-3.69, 2 Er 3.47-3.60
Pm: 0.2500 0.9742 0.0258  4 Tb 3.46-3.49, 4 Pr 3.63-3.70
Tb: 0.0463 0.2979 0.2007  5 Pr 3.32-3.55, 2 Pm 3.46-3.49, 1 Er 3.57
Pr: 0.5542 0.7585 0.1161  7 Pr 3.49-3.85, 1 Tb 3.55, 2 Pm 3.70-3.90
Pr: 0.8115 0.4353 0.9924  3 Pr 3.34-3.72, 1 Er 3.48, 1 Tb 3.51, 1 Pm 3.63

***

# 9
The following is a DFT calculation (PBE) of a relaxed Tb2Pm4PrEr2 crystal.

a b c (Å): 5.0889 8.0635 8.0578
angles (deg): 107.40 90.00 108.39
Last column: nearest neighbours and their distance in Å.
Positions (direct):
Tb: 0.8884 0.7768 0.3327  3 Er 3.58-3.59, 7 Pm 3.59-3.62, 1 Pr 3.60, 1 Tb 3.62
Er: 0.6685 0.3369 0.9992  5 Pm 3.56-3.63, 2 Er 3.56, 3 Tb 3.58-3.59, 2 Pr 3.62
Pm: 0.2230 0.4460 0.3317  3 Er 3.56-3.60, 3 Tb 3.59-3.62, 1 Pr 3.61, 5 Pm 3.62
Pm: 0.4452 0.8905 0.6673  4 Pm 3.60-3.62, 2 Pr 3.60, 4 Tb 3.60-3.61, 2 Er 3.61-3.63
Er: 0.3315 0.6631 0.0008  5 Pm 3.56-3.63, 2 Er 3.56, 3 Tb 3.58-3.59, 2 Pr 3.62
Tb: 0.1116 0.2232 0.6673  3 Er 3.58-3.59, 7 Pm 3.59-3.62, 1 Pr 3.60, 1 Tb 3.62
Pr: 0.0000 0.0000 0.0000  6 Pm 3.60-3.61, 2 Tb 3.60, 4 Er 3.62
Pm: 0.7770 0.5540 0.6683  3 Er 3.56-3.60, 3 Tb 3.59-3.62, 1 Pr 3.61, 5 Pm 3.62
Pm: 0.5548 0.1095 0.3327  4 Pm 3.60-3.62, 2 Pr 3.60, 4 Tb 3.60-3.61, 2 Er 3.61-3.63

***

# 10
The following is a DFT calculation (PBE) of a relaxed Tb2Pm2PrEr crystal.

a b c (Å): 5.7045 7.0259 9.8986
angles (deg): 90.00 90.00 90.00
Last column: nearest neighbours and their distance in Å.
Positions (direct):
Pm: 0.0000 0.7577 0.8316  5 Tb 3.27-3.51
Pm: 0.5000 0.0076 0.0001  6 Pm 3.51-3.74, 6 Tb 3.72, 2 Er 3.75
Tb: 0.0000 0.2576 0.8359  3 Pm 3.29-3.51, 2 Er 3.31
Tb: 0.5000 0.2576 0.3309  2 Pm 3.27, 3 Er 3.31-3.51
Pm: 0.0000 0.2577 0.1684  5 Tb 3.27-3.51
Pr: 0.0000 0.0076 0.4999  2 Pr 3.51, 2 Pm 3.72, 4 Er 3.73, 6 Tb 3.74-3.76
Er: 0.5000 0.2575 0.6654  5 Tb 3.31-3.51
Tb: 0.5000 0.7576 0.6691  2 Pm 3.27, 3 Er 3.31-3.51
Tb: 0.0000 0.7576 0.1641  3 Pm 3.29-3.51, 2 Er 3.31
Er: 0.5000 0.7575 0.3346  5 Tb 3.31-3.51
Pm: 0.5000 0.5076 0.9999  6 Pm 3.51-3.74, 6 Tb 3.72, 2 Er 3.75
Pr: 0.0000 0.5076 0.5001  2 Pr 3.51, 2 Pm 3.72, 4 Er 3.73, 6 Tb 3.74-3.76

***

# 11
The following is a DFT calculation (PBE) of a relaxed TbPm4PrEr2 crystal.

a b c (Å): 9.5656 9.5656 11.8918
angles (deg): 128.45 128.45 88.19
Last column: nearest neighbours and their distance in Å.
Positions (direct):
Pm: 0.2518 0.7480 0.9993  3 Er 3.30-3.44, 1 Tb 3.35, 2 Pr 3.43-3.44, 2 Pm 3.44
Er: 0.5000 0.0000 0.0000  6 Pm 3.29-3.44, 2 Pr 3.44
Pm: 0.2383 0.2321 0.4862  3 Er 3.29-3.48, 1 Pr 3.37, 2 Tb 3.39-3.50, 2 Pm 3.44
Pm: 0.7519 0.2482 0.5007  3 Er 3.30-3.44, 1 Tb 3.35, 2 Pr 3.43-3.44, 2 Pm 3.44
Pm: 0.7321 0.7383 0.9862  3 Er 3.29-3.48, 1 Pr 3.37, 2 Tb 3.39-3.50, 2 Pm 3.44
Pr: 0.0000 0.5000 0.0000  6 Pm 3.37-3.44, 2 Er 3.44
Tb: 0.5000 0.5000 0.5000  6 Pm 3.35-3.50, 2 Tb 3.44
Er: 0.5000 0.5000 0.0000  6 Pm 3.30-3.48, 2 Er 3.44
Er: 0.5000 0.0000 0.5000  6 Pm 3.29-3.44, 2 Pr 3.44
Pm: 0.7482 0.2520 0.0007  3 Er 3.30-3.44, 1 Tb 3.35, 2 Pr 3.43-3.44, 2 Pm 3.44
Pr: 0.0000 0.5000 0.5000  6 Pm 3.37-3.44, 2 Er 3.44
Er: 0.0000 0.0000 0.5000  6 Pm 3.30-3.48, 2 Er 3.44
Pm: 0.2480 0.7518 0.4993  3 Er 3.30-3.44, 1 Tb 3.35, 2 Pr 3.43-3.44, 2 Pm 3.44
Pm: 0.2679 0.2617 0.0138  3 Er 3.29-3.48, 1 Pr 3.37, 2 Tb 3.39-3.50, 2 Pm 3.44
Tb: 0.0000 0.0000 0.0000  6 Pm 3.35-3.50, 2 Tb 3.44
Pm: 0.7617 0.7679 0.5138  3 Er 3.29-3.48, 1 Pr 3.37, 2 Tb 3.39-3.50, 2 Pm 3.44

***

# 12
The following is a DFT calculation (PBE) of a relaxed Tb2PmPr2Er2 crystal.

a b c (Å): 3.5568 8.6213 8.8106
angles (deg): 118.04 90.00 101.90
Last column: nearest neighbours and their distance in Å.
Positions (direct):
Er: 0.3613 0.7225 0.6656  4 Er 3.56-3.90, 3 Pr 3.59-3.73, 4 Tb 3.62-3.63, 2 Pm 3.75
Tb: 0.0699 0.1399 0.9308  1 Tb 3.13, 1 Pr 3.39, 1 Pm 3.39
Pr: 0.2946 0.5892 0.2124  3 Tb 3.39-3.57, 4 Pr 3.56-3.75, 3 Er 3.59-3.73, 2 Pm 3.63
Pm: 0.0000 0.0000 0.5000  2 Tb 3.39, 2 Pm 3.56, 4 Pr 3.63, 4 Er 3.75
Pr: 0.7054 0.4108 0.7876  3 Tb 3.39-3.57, 4 Pr 3.56-3.75, 3 Er 3.59-3.73, 2 Pm 3.63
Er: 0.6387 0.2775 0.3344  4 Er 3.56-3.90, 3 Pr 3.59-3.73, 4 Tb 3.62-3.63, 2 Pm 3.75
Tb: 0.9301 0.8601 0.0692  1 Tb 3.13, 1 Pr 3.39, 1 Pm 3.39

***

no.,calculated formation energy (meV/atom),total magnetic moment (μB/cell)
1,16.3,0.00
2,158.9,0.00
3,143.9,0.00
4,22.1,0.00
5,371.1,0.00
6,17.9,0.00
7,18.0,0.00
8,113.1,0.00
9,17.9,0.00
10,64.4,0.00
11,396.5,0.02
12,43.8,0.00